PBE Ce3BiSe2, relaxed; ΔE to the lowest computed polymorph = 231 meV per atom; symmetry = Cmcm, No. 63; ρ = 7.5 g/cm3; Fermi-level density of states = 17.11 states/eV/f.u.; raw formation energy = -1.21 eV/atom
1.0
2.451 -7.088 0.000
2.451 7.088 0.000
0.000 0.000 10.087
Ce Bi Se
6 2 4
Cartesian
2.451 5.487 7.565 Ce
2.451 1.861 5.466 Ce
2.451 1.861 9.664 Ce
2.451 -1.861 0.423 Ce
2.451 -1.861 4.621 Ce
2.451 -5.487 2.522 Ce
2.451 3.908 2.522 Bi
2.451 -3.908 7.565 Bi
0.000 0.000 0.000 Se
0.000 0.000 5.043 Se
2.451 0.185 2.522 Se
2.451 -0.185 7.565 Se